# 1
The following is a DFT calculation (GGA-PBE) of crystalline YEr2Hg6 at its relaxed geometry.

Unit cell a=14.3264 b=11.6482 c=5.4135 alpha=90.00 beta=100.00 gamma=90.00
Closest atoms and distances in Å follow each position.
Space group C2/c (No. 15)
Inequivalent atoms, fractional coordinates:
Y 0.0000 0.1255 0.2500  10 Hg 3.13-3.33
Er 0.1665 0.3748 0.0842  10 Hg 3.10-3.31
Hg 0.0551 0.3757 0.5293  5 Hg 3.08-3.30, 4 Er 3.11-3.30, 1 Y 3.31
Hg 0.1125 0.1262 0.8043  5 Hg 3.10-3.32, 2 Er 3.12-3.30, 3 Y 3.13-3.33
Hg 0.2235 0.1253 0.3618  5 Hg 3.10-3.32, 4 Er 3.10-3.31, 1 Y 3.15

Summary:
For the density of states at the Fermi level, the calculation gives 0.440 states/eV/atom. The value obtained for the formation energy is -0.391 eV per atom. The calculation puts the total energy at -2.3241 eV/atom.

***

# 2
The following is a DFT calculation (GGA-PBE) of crystalline K3BaAs at its relaxed geometry.

Unit cell a=6.5638 b=6.5638 c=6.5638 alpha=90.00 beta=90.00 gamma=90.00
Closest atoms and distances in Å follow each position.
Space group Pm-3m (No. 221)
Inequivalent atoms, fractional coordinates:
K 0.0000 0.0000 0.5000  2 As 3.28
Ba 0.5000 0.5000 0.5000  12 K 4.64
As 0.0000 0.0000 0.0000  6 K 3.28

Summary:
Its energy above the most stable polymorph in this dataset is 0.000 eV/atom. For the density of states at the Fermi level, the calculation gives 0.134 states/eV/atom. The value obtained for the formation energy is -0.012 eV per atom. The calculation puts the total energy at -1.9847 eV/atom.

***

# 3
The following is a DFT calculation (GGA-PBE) of crystalline HoPtAu2 at its relaxed geometry.

Unit cell a=4.1375 b=7.9899 c=5.3454 alpha=90.00 beta=112.71 gamma=90.00
Closest atoms and distances in Å follow each position.
Space group P2_1/m (No. 11)
Inequivalent atoms, fractional coordinates:
Ho 0.0594 0.2500 0.1168  3 Pt 2.88-2.92, 4 Au 3.19-3.20
Pt 0.2368 0.7500 0.4761  6 Au 2.76-2.79, 3 Ho 2.88-2.92
Au 0.3681 0.0563 0.7350  3 Pt 2.76-2.79, 1 Au 2.76

Summary:
For the density of states at the Fermi level, the calculation gives 0.442 states/eV/atom. The value obtained for the formation energy is -0.725 eV per atom. The calculation puts the total energy at -5.0180 eV/atom.

***

# 4
The following is a DFT calculation (GGA-PBE) of crystalline LiPa2ZnN4 at its relaxed geometry.

Unit cell a=5.3217 b=3.5991 c=6.2436 alpha=90.00 beta=113.30 gamma=90.00
Closest atoms and distances in Å follow each position.
Space group P2/m (No. 10)
Inequivalent atoms, fractional coordinates:
Li 0.0000 0.0000 0.0000  6 N 2.46-2.52
Pa 0.5000 0.0000 0.5000  6 N 2.32-2.39
Pa 0.5000 0.5000 0.0000  6 N 2.29-2.31
Zn 0.0000 0.5000 0.5000  6 N 2.52-2.55
N 0.2832 0.0000 0.7696  3 Pa 2.31-2.39, 1 Li 2.46, 2 Zn 2.52
N 0.2943 0.5000 0.2610  3 Pa 2.29-2.32, 2 Li 2.52, 1 Zn 2.55

Summary:
For the density of states at the Fermi level, the calculation gives 0.530 states/eV/atom. The formation energy from raw total energies is -0.99 eV/atom. The calculation puts the total energy at -7.9250 eV/atom.